No. 1
Sr2AlCdS5: optimized geometry, PBE.

Cell: 3.9371 8.9196 12.4539 Å, 90.00 90.00 102.75°
Last column: nearest neighbours and their distance in Å.
Positions (direct):
S  0.9559  0.9119  0.5291  2 Al 2.34
Sr  0.8886  0.7772  0.1745  6 S 2.95-3.25
S  0.7157  0.4314  0.1781  2 Cd 2.67
Sr  0.8727  0.7455  0.8197  7 S 3.00-3.31
S  0.0441  0.0881  0.0291  2 Al 2.34
Al  0.5609  0.1218  0.9309  4 S 2.22-2.34
Cd  0.7850  0.5700  0.5331  5 S 2.62-2.75
Cd  0.2150  0.4300  0.0331  5 S 2.62-2.75
Al  0.4391  0.8782  0.4309  4 S 2.22-2.34
S  0.3119  0.6238  0.3835  1 Al 2.29
Sr  0.1273  0.2545  0.3197  7 S 3.00-3.31
S  0.4994  0.9987  0.2738  1 Al 2.22
S  0.6881  0.3762  0.8835  1 Al 2.29
S  0.5006  0.0013  0.7738  1 Al 2.22
S  0.6359  0.2718  0.5013  1 Cd 2.62
Sr  0.1114  0.2228  0.6745  6 S 2.95-3.25
S  0.3641  0.7282  0.0013  1 Cd 2.62
S  0.2843  0.5686  0.6781  2 Cd 2.67

Computed properties:
Formation energy (no corrections): -1.28 eV per atom

---

No. 2
Tb5Tm3As8: optimized geometry, PBE.

Cell: 8.2201 8.2201 8.2202 Å, 60.00 60.00 60.00°
Last column: nearest neighbours and their distance in Å.
Positions (direct):
Tb  0.0000  0.0000  0.0000  6 As 2.91
As  0.2500  0.7532  0.7468  2 Tm 2.89, 4 Tb 2.91-2.92
As  0.7516  0.7516  0.7452  3 Tm 2.89, 3 Tb 2.93
As  0.7500  0.2468  0.2532  2 Tm 2.89, 4 Tb 2.91-2.92
As  0.7500  0.7500  0.2532  2 Tm 2.89, 4 Tb 2.91-2.92
As  0.7532  0.2500  0.7468  2 Tm 2.89, 4 Tb 2.91-2.92
As  0.2468  0.7500  0.2532  2 Tm 2.89, 4 Tb 2.91-2.92
As  0.2500  0.2500  0.7468  2 Tm 2.89, 4 Tb 2.91-2.92
As  0.2484  0.2484  0.2548  3 Tm 2.89, 3 Tb 2.93
Tb  0.0000  0.5000  0.0000  6 As 2.92-2.93
Tm  0.0000  0.0000  0.5000  6 As 2.89
Tm  0.0000  0.5000  0.5000  6 As 2.89
Tb  0.5000  0.0000  0.0000  6 As 2.92-2.93
Tb  0.5000  0.5000  0.0000  6 As 2.92-2.93
Tm  0.5000  0.0000  0.5000  6 As 2.89
Tb  0.5000  0.5000  0.5000  6 As 2.91

Computed properties:
E_form: -1.5262 eV per atom

---

No. 3
InSb4Rh: optimized geometry, PBE.

Cell: 6.1454 6.1454 6.1454 Å, 60.00 60.00 60.00°
Last column: nearest neighbours and their distance in Å.
Positions (direct):
Rh  0.0000  0.0000  0.0000  12 Sb 3.61, 4 In 3.76
Sb  0.3758  0.3758  0.3758  6 Sb 3.05-3.09
Sb  0.8726  0.3758  0.3758  6 Sb 3.05-3.09
Sb  0.3758  0.8726  0.3758  6 Sb 3.05-3.09
In  0.7500  0.7500  0.7500  12 Sb 3.60, 4 Rh 3.76
Sb  0.3758  0.3758  0.8726  6 Sb 3.05-3.09

Computed properties:
Formation energy (no corrections): 0.59 eV per atom

---

No. 4
WI2N2: optimized geometry, PBE.

Cell: 5.4629 5.4629 3.8194 Å, 90.00 90.00 90.00°
Last column: nearest neighbours and their distance in Å.
Positions (direct):
N  0.0000  0.0000  0.5000  2 W 1.91
I  0.5000  0.0000  0.0000  2 W 2.73
N  0.5000  0.5000  0.5000  8 I 3.33
W  0.0000  0.0000  0.0000  2 N 1.91
I  0.0000  0.5000  0.0000  2 W 2.73

Computed properties:
Formation energy (no corrections): 1.50 eV per atom

---

No. 5
CrGa2Pd9: optimized geometry, PBE.

Cell: 3.9211 3.9211 11.7236 Å, 90.00 90.00 90.00°
Last column: nearest neighbours and their distance in Å.
Positions (direct):
Pd  0.5000  0.5000  0.6677  8 Pd 2.77-2.78, 4 Ga 2.77
Pd  0.0000  0.5000  0.1655  2 Cr 2.76, 8 Pd 2.76-2.77, 2 Ga 2.80
Ga  0.0000  0.0000  0.3357  12 Pd 2.75-2.80
Pd  0.5000  0.0000  0.1655  8 Pd 2.76-2.77, 2 Cr 2.76, 2 Ga 2.80
Pd  0.5000  0.0000  0.8345  8 Pd 2.76-2.77, 2 Cr 2.76, 2 Ga 2.80
Pd  0.0000  0.5000  0.5000  4 Ga 2.75, 8 Pd 2.77-2.78
Pd  0.5000  0.5000  0.3323  8 Pd 2.77-2.78, 4 Ga 2.77
Cr  0.0000  0.0000  0.0000  12 Pd 2.76-2.77
Pd  0.0000  0.5000  0.8345  8 Pd 2.76-2.77, 2 Cr 2.76, 2 Ga 2.80
Pd  0.5000  0.0000  0.5000  4 Ga 2.75, 8 Pd 2.77-2.78
Ga  0.0000  0.0000  0.6643  12 Pd 2.75-2.80
Pd  0.5000  0.5000  0.0000  8 Pd 2.76, 4 Cr 2.77

Computed properties:
E_form: -0.3326 eV per atom

---

No. 6
CuRe2Au: optimized geometry, PBE.

Cell: 9.2712 9.2712 9.2712 Å, 17.14 17.14 17.14°
Last column: nearest neighbours and their distance in Å.
Positions (direct):
Re  0.4953  0.4953  0.4953  3 Cu 2.68, 6 Re 2.76, 3 Au 2.89
Cu  0.7500  0.7500  0.7500  6 Re 2.68, 6 Cu 2.76
Re  0.0047  0.0047  0.0047  3 Cu 2.68, 6 Re 2.76, 3 Au 2.89
Au  0.2500  0.2500  0.2500  6 Au 2.76, 6 Re 2.89

Computed properties:
E_form: 0.4906 eV per atom

---

No. 7
Rb3ScPt: optimized geometry, PBE.

Cell: 6.6892 6.6892 6.6892 Å, 90.00 90.00 90.00°
Last column: nearest neighbours and their distance in Å.
Positions (direct):
Rb  0.5000  0.0000  0.0000  2 Sc 3.34
Rb  0.0000  0.5000  0.0000  2 Sc 3.34
Rb  0.0000  0.0000  0.5000  2 Sc 3.34
Pt  0.5000  0.5000  0.5000  12 Rb 4.73
Sc  0.0000  0.0000  0.0000  6 Rb 3.34

Computed properties:
E_form: 1.2727 eV per atom

---

No. 8
Y5Sc3: optimized geometry, PBE.

Cell: 6.9044 6.9044 4.8995 Å, 90.00 90.00 88.97°
Last column: nearest neighbours and their distance in Å.
Positions (direct):
Y  0.7439  0.2561  0.5000  6 Sc 3.40-3.51, 6 Y 3.47-3.48
Y  0.2561  0.7439  0.5000  6 Sc 3.40-3.51, 6 Y 3.47-3.48
Y  0.0000  0.0000  0.0000  8 Y 3.45-3.48, 4 Sc 3.49
Y  0.5000  0.0000  0.0000  6 Sc 3.44-3.45, 6 Y 3.45-3.47
Sc  0.2520  0.2520  0.5000  10 Y 3.40-3.51, 2 Sc 3.46
Y  0.0000  0.5000  0.0000  6 Sc 3.44-3.45, 6 Y 3.45-3.47
Sc  0.5000  0.5000  0.0000  8 Y 3.40-3.45, 4 Sc 3.46
Sc  0.7480  0.7480  0.5000  10 Y 3.40-3.51, 2 Sc 3.46

Computed properties:
E_form: 0.0589 eV per atom

---

No. 9
Na3Tb2NpTe6: optimized geometry, PBE.

Cell: 7.7278 7.7278 7.9750 Å, 99.28 99.28 119.85°
Last column: nearest neighbours and their distance in Å.
Positions (direct):
Te  0.2588  0.2588  0.7656  2 Tb 3.11, 1 Np 3.15, 3 Na 3.24-3.28
Te  0.9216  0.5851  0.7662  2 Tb 3.11-3.12, 1 Np 3.15, 3 Na 3.25-3.28
Tb  0.3339  0.6661  0.0000  6 Te 3.11-3.12
Na  0.8335  0.1665  0.5000  6 Te 3.25-3.28
Tb  0.6661  0.3339  0.0000  6 Te 3.11-3.12
Te  0.0784  0.4149  0.2338  2 Tb 3.11-3.12, 1 Np 3.15, 3 Na 3.25-3.28
Na  0.1665  0.8335  0.5000  6 Te 3.25-3.28
Np  0.0000  0.0000  0.0000  6 Te 3.15
Te  0.4149  0.0784  0.2338  2 Tb 3.11-3.12, 1 Np 3.15, 3 Na 3.25-3.28
Na  0.5000  0.5000  0.5000  6 Te 3.24-3.28
Te  0.7412  0.7412  0.2344  2 Tb 3.11, 1 Np 3.15, 3 Na 3.24-3.28
Te  0.5851  0.9216  0.7662  2 Tb 3.11-3.12, 1 Np 3.15, 3 Na 3.25-3.28

Computed properties:
Formation energy (no corrections): -1.14 eV per atom

---

No. 10
InGa3Hg: optimized geometry, PBE.

Cell: 6.1392 6.7018 6.7016 Å, 120.02 90.00 90.00°
Last column: nearest neighbours and their distance in Å.
Positions (direct):
Ga  0.2500  0.4035  0.2016  2 Ga 2.65, 2 Hg 2.80
Ga  0.2500  0.7983  0.5965  2 Ga 2.65, 2 Hg 2.80
In  0.7499  0.6667  0.3335  12 Ga 3.37-3.43
Hg  0.0000  0.0000  0.0000  6 Ga 2.80, 2 Hg 3.07
Ga  0.7501  0.2017  0.7983  2 Ga 2.65, 2 Hg 2.80
Ga  0.7500  0.2017  0.4035  2 Ga 2.65, 2 Hg 2.80
Hg  0.5000  0.0000  0.0000  6 Ga 2.80, 2 Hg 3.07
Ga  0.7500  0.5965  0.7984  2 Ga 2.65, 2 Hg 2.80
In  0.2501  0.3333  0.6666  12 Ga 3.37-3.43
Ga  0.2499  0.7983  0.2017  2 Ga 2.65, 2 Hg 2.80

Computed properties:
E_form: 0.1577 eV per atom

---

No. 11
AgClF: optimized geometry, PBE.

Cell: 4.2489 4.2489 4.2489 Å, 60.00 60.00 60.00°
Last column: nearest neighbours and their distance in Å.
Positions (direct):
Ag  0.2500  0.2500  0.2500  4 F 2.60, 4 Cl 2.60
F  0.5000  0.5000  0.5000  4 Ag 2.60
Cl  0.0000  0.0000  0.0000  4 Ag 2.60

Computed properties:
Formation energy (no corrections): -0.52 eV per atom

---

No. 12
Te2IrW: optimized geometry, PBE.

Cell: 3.5261 3.5283 7.4402 Å, 90.00 90.00 90.00°
Last column: nearest neighbours and their distance in Å.
Positions (direct):
Te  0.5000  0.5000  0.3457  1 Ir 2.74, 4 W 2.89
Te  0.0000  0.0000  0.8991  1 W 2.66, 4 Ir 2.85
Ir  0.5000  0.5000  0.7136  5 Te 2.74-2.85, 4 W 2.80
W  0.0000  0.0000  0.5416  5 Te 2.66-2.89, 4 Ir 2.80

Computed properties:
Formation energy (no corrections): 0.35 eV per atom

---

Asked for theoretical density across the records above, the calculation gives 3.70, 8.04, 7.13, 6.78, 10.59, 17.41, 2.75, 4.12, 5.90, 7.30, 4.97, 11.32 g cm⁻³ in order.